Entry 1:
Here is a geometry-optimized YZr2Cu structure from Alexandria. Energies are from PBE.

The energy above the lowest structure with this stoichiometry comes out at 368 meV per atom. The value obtained for the formation energy is 7.0 kcal/mol of atoms. The calculation puts the density of states at the Fermi level at 19.0 states/eV/cell. Its total magnetization is 0.0 μB/cell.

The structure belongs to space group Fm-3m (No. 225); the cell edges are 7.000, 7.000 and 7.000 Å and the angles 90.00°, 90.00° and 90.00°. The asymmetric unit holds Y at (0.000, 0.000, 0.000), Zr at (0.250, 0.250, 0.250) and Cu at (0.000, 0.000, 0.500).



Entry 2:
Here is a geometry-optimized YZr2Cu structure from Alexandria. Energies are from PBE.

The energy above the lowest structure with this stoichiometry comes out at 335 meV per atom. The value obtained for the formation energy is 6.2 kcal/mol of atoms. The calculation puts the density of states at the Fermi level at 4.9 states/eV/cell. Its total magnetization is 0.0 μB/cell.

The structure belongs to space group P4/mmm (No. 123); the cell edges are 5.065, 5.065 and 3.380 Å and the angles 90.00°, 90.00° and 90.00°. The asymmetric unit holds Y at (0.000, 0.000, 0.000), Zr at (0.000, 0.500, 0.500) and Cu at (0.500, 0.500, 0.000).



Entry 3:
Here is a geometry-optimized YZr2Cu structure from Alexandria. Energies are from PBE.

The energy above the lowest structure with this stoichiometry comes out at 229 meV per atom. The value obtained for the formation energy is 3.8 kcal/mol of atoms. The calculation puts the density of states at the Fermi level at 14.9 states/eV/cell. Its total magnetization is 0.0 μB/cell.

The structure belongs to space group R-3m (No. 166, hexagonal axes); the cell edges are 3.2723, 3.2723 and 29.3554 Å and the angles 90.00°, 90.00° and 120.00°. The asymmetric unit holds Y at (0.0000, 0.0000, 0.0000), Zr at (0.0000, 0.0000, 0.2375) and Cu at (0.0000, 0.0000, 0.5000).



Entry 4:
Here is a geometry-optimized YZrCu structure from Alexandria. Energies are from PBE.

The energy above the lowest structure with this stoichiometry comes out at 0 meV per atom. The value obtained for the formation energy is -2.9 kcal/mol of atoms. The calculation puts the density of states at the Fermi level at 4.5 states/eV/cell. Its total magnetization is 0.0 μB/cell.

The structure belongs to space group P2_1/m (No. 11); the cell edges are 3.411, 4.989 and 7.938 Å and the angles 90.00°, 102.39° and 90.00°. The asymmetric unit holds Y at (0.081, 0.250, 0.161), Zr at (0.227, 0.750, 0.454) and Cu at (0.413, 0.250, 0.828).



Entry 5:
Here is a geometry-optimized YZrCu structure from Alexandria. Energies are from PBE.

The energy above the lowest structure with this stoichiometry comes out at 94 meV per atom. The value obtained for the formation energy is -0.7 kcal/mol of atoms. The calculation puts the density of states at the Fermi level at 7.0 states/eV/cell. Its total magnetization is 0.0 μB/cell.

The structure belongs to space group P-1 (No. 2); the cell edges are 4.829, 5.857 and 5.949 Å and the angles 118.34°, 113.92° and 90.08°. The asymmetric unit holds Y at (0.173, 0.081, 0.346), Zr at (0.443, 0.694, 0.887) and Cu at (0.130, 0.554, 0.258).



Entry 6:
Here is a geometry-optimized YZr2Cu6 structure from Alexandria. Energies are from PBE.

The value obtained for the formation energy is -3.4 kcal/mol of atoms. The calculation puts the density of states at the Fermi level at 5.8 states/eV/cell. Its total magnetization is 0.0 μB/cell.

The structure belongs to space group P6/mmm (No. 191); the cell edges are 7.4260, 7.4260 and 3.0910 Å and the angles 90.00°, 90.00° and 120.00°. The asymmetric unit holds Y at (0.0000, 0.0000, 0.0000), Zr at (0.3333, 0.6667, 0.0000) and Cu at (0.0000, 0.3367, 0.5000).



Entry 7:
Here is a geometry-optimized YbCu5 structure from Alexandria. Energies are from PBE.

The value obtained for the formation energy is -5.3 kcal/mol of atoms. The calculation puts the density of states at the Fermi level at 2.7 states/eV/cell. Its total magnetization is 0.0 μB/cell.

The structure belongs to space group P6/mmm (No. 191); the cell edges are 4.9944, 4.9944 and 4.0879 Å and the angles 90.00°, 90.00° and 120.00°. The asymmetric unit holds Yb at (0.0000, 0.0000, 0.0000), Cu at (0.0000, 0.5000, 0.5000) and Cu at (0.3333, 0.6667, 0.0000).



Entry 8:
Here is a geometry-optimized YbCu structure from Alexandria. Energies are from PBE.

The value obtained for the formation energy is -6.1 kcal/mol of atoms. The calculation puts the density of states at the Fermi level at 58.4 states/eV/cell. Its total magnetization is 0.8 μB/cell.

The structure belongs to space group Pnma (No. 62); the cell edges are 7.510, 4.221 and 5.705 Å and the angles 90.00°, 90.00° and 90.00°. The asymmetric unit holds Yb at (0.179, 0.250, 0.128) and Cu at (0.032, 0.250, 0.614).



Entry 9:
Here is a geometry-optimized YbCu6 structure from Alexandria. Energies are from PBE.

The value obtained for the formation energy is 9.5 kcal/mol of atoms. The calculation puts the density of states at the Fermi level at 39.3 states/eV/cell. Its total magnetization is 0.5 μB/cell.

The structure belongs to space group Im-3m (No. 229); the cell edges are 6.457, 6.457 and 6.457 Å and the angles 90.00°, 90.00° and 90.00°. The asymmetric unit holds Yb at (0.000, 0.000, 0.000) and Cu at (0.000, 0.250, 0.500).



Entry 10:
Here is a geometry-optimized ZnCu2 structure from Alexandria. Energies are from PBE.

The value obtained for the formation energy is -1.5 kcal/mol of atoms. The calculation puts the density of states at the Fermi level at 1.2 states/eV/cell. Its total magnetization is 0.0 μB/cell.

The structure belongs to space group P-1 (No. 2); the cell edges are 2.633, 3.680 and 4.489 Å and the angles 113.94°, 105.71° and 90.20°. The asymmetric unit holds Zn at (0.000, 0.000, 0.000) and Cu at (0.332, 0.333, 0.665).



Entry 11:
Here is a geometry-optimized ZnCu3 structure from Alexandria. Energies are from PBE.

The value obtained for the formation energy is 2.8 kcal/mol of atoms. The calculation puts the density of states at the Fermi level at 5.6 states/eV/cell. Its total magnetization is 0.0 μB/cell.

The structure belongs to space group Cmcm (No. 63); the cell edges are 7.061, 7.115 and 4.317 Å and the angles 90.00°, 90.00° and 90.00°. The asymmetric unit holds Zn at (0.000, 0.088, 0.250), Cu at (0.000, 0.424, 0.250) and Cu at (0.168, 0.246, 0.750).



Entry 12:
Here is a geometry-optimized Zn3Cu8 structure from Alexandria. Energies are from PBE.

The energy above the lowest structure with this stoichiometry comes out at 371 meV per atom. The value obtained for the formation energy is 7.1 kcal/mol of atoms. The calculation puts the density of states at the Fermi level at 5.5 states/eV/cell. Its total magnetization is 0.0 μB/cell.

The structure belongs to space group R-3 (No. 148, hexagonal axes); the cell edges are 8.0937, 8.0937 and 8.6706 Å and the angles 90.00°, 90.00° and 120.00°. The asymmetric unit holds Zn at (0.0000, 0.5000, 0.0000), Cu at (0.0000, 0.0000, 0.3560) and Cu at (0.0319, 0.1987, 0.8891).



Entry 13:
Here is a geometry-optimized Zn3Cu4 structure from Alexandria. Energies are from PBE.

The energy above the lowest structure with this stoichiometry comes out at 5 meV per atom. The value obtained for the formation energy is -1.7 kcal/mol of atoms. The calculation puts the density of states at the Fermi level at 8.7 states/eV/cell. Its total magnetization is 0.0 μB/cell.

The structure belongs to space group R-3 (No. 148, hexagonal axes); the cell edges are 11.0806, 11.0806 and 5.0877 Å and the angles 90.00°, 90.00° and 120.00°. The asymmetric unit holds Zn at (0.0467, 0.8104, 0.1679), Cu at (0.0000, 0.0000, 0.0000), Cu at (0.0000, 0.0000, 0.5000) and Cu at (0.0470, 0.8098, 0.6655).



Entry 14:
Here is a geometry-optimized Zn3Cu2 structure from Alexandria. Energies are from PBE.

The energy above the lowest structure with this stoichiometry comes out at 5 meV per atom. The value obtained for the formation energy is -1.0 kcal/mol of atoms. The calculation puts the density of states at the Fermi level at 3.8 states/eV/cell. Its total magnetization is 0.0 μB/cell.

The structure belongs to space group C2/c (No. 15); the cell edges are 7.379, 11.596 and 3.890 Å and the angles 90.00°, 120.91° and 90.00°. The asymmetric unit holds Zn at (0.202, 0.078, 0.461), Zn at (0.250, 0.250, 0.000), Cu at (0.000, 0.272, 0.250) and Cu at (0.000, 0.426, 0.750).



Entry 15:
Here is a geometry-optimized ZnCu2 structure from Alexandria. Energies are from PBE.

The value obtained for the formation energy is 6.1 kcal/mol of atoms. The calculation puts the density of states at the Fermi level at 1.8 states/eV/cell. Its total magnetization is 0.0 μB/cell.

The structure belongs to space group P4/mmm (No. 123); the cell edges are 4.158, 4.158 and 2.667 Å and the angles 90.00°, 90.00° and 90.00°. The asymmetric unit holds Zn at (0.000, 0.000, 0.000) and Cu at (0.000, 0.500, 0.500).



Entry 16:
Here is a geometry-optimized ZnCu6 structure from Alexandria. Energies are from PBE.

The energy above the lowest structure with this stoichiometry comes out at 0 meV per atom. The value obtained for the formation energy is 0.1 kcal/mol of atoms. The calculation puts the density of states at the Fermi level at 6.9 states/eV/cell. Its total magnetization is 0.0 μB/cell.

The structure belongs to space group R-3 (No. 148, hexagonal axes); the cell edges are 10.8893, 10.8893 and 2.5094 Å and the angles 90.00°, 90.00° and 120.00°. The asymmetric unit holds Zn at (0.0000, 0.0000, 0.0000) and Cu at (0.0499, 0.8088, 0.6463).



Entry 17:
Here is a geometry-optimized Zn2Cu structure from Alexandria. Energies are from PBE.

The value obtained for the formation energy is 1.9 kcal/mol of atoms. The calculation puts the density of states at the Fermi level at 6.6 states/eV/cell. Its total magnetization is 0.0 μB/cell.

The structure belongs to space group Fm-3m (No. 225); the cell edges are 5.796, 5.796 and 5.796 Å and the angles 90.00°, 90.00° and 90.00°. The asymmetric unit holds Zn at (0.250, 0.250, 0.250) and Cu at (0.000, 0.000, 0.000).



Entry 18:
Here is a geometry-optimized Zn4Cu5 structure from Alexandria. Energies are from PBE.

The energy above the lowest structure with this stoichiometry comes out at 3 meV per atom. The value obtained for the formation energy is -1.6 kcal/mol of atoms. The calculation puts the density of states at the Fermi level at 3.5 states/eV/cell. Its total magnetization is 0.0 μB/cell.

The structure belongs to space group Immm (No. 71); the cell edges are 3.342, 8.317 and 8.379 Å and the angles 90.00°, 90.00° and 90.00°. The asymmetric unit holds Zn at (0.000, 0.165, 0.165), Cu at (0.000, 0.164, 0.500), Cu at (0.000, 0.500, 0.164) and Cu at (0.000, 0.500, 0.500).



Entry 19:
Here is a geometry-optimized ZnCu15 structure from Alexandria. Energies are from PBE.

The value obtained for the formation energy is -0.2 kcal/mol of atoms. The calculation puts the density of states at the Fermi level at 7.0 states/eV/cell. Its total magnetization is 0.0 μB/cell.

The structure belongs to space group P-6m2 (No. 187); the cell edges are 5.1647, 5.1647 and 8.3523 Å and the angles 90.00°, 90.00° and 120.00°. The asymmetric unit holds Zn at (0.0000, 0.0000, 0.0000), Cu at (0.0000, 0.0000, 0.5000), Cu at (0.9995, 0.4998, 0.0000), Cu at (0.0007, 0.5003, 0.5000), Cu at (0.3333, 0.6667, 0.2501) and Cu at (0.3348, 0.1674, 0.2514).



Entry 20:
Here is a geometry-optimized Zn2Cu structure from Alexandria. Energies are from PBE.

The value obtained for the formation energy is -1.0 kcal/mol of atoms. The calculation puts the density of states at the Fermi level at 1.5 states/eV/cell. Its total magnetization is 0.0 μB/cell.

The structure belongs to space group P-62m (No. 189); the cell edges are 7.1913, 7.1913 and 2.7594 Å and the angles 90.00°, 90.00° and 120.00°. The asymmetric unit holds Zn at (0.0000, 0.2977, 0.0000), Zn at (0.0000, 0.6304, 0.5000), Cu at (0.0000, 0.0000, 0.5000) and Cu at (0.3333, 0.6667, 0.0000).